[1]
DFT (GGA-PBE) results for an optimized crystal structure of AcLa2Mo2N6.

abc: 7.417 7.417 7.417
angles: 46.99 46.99 46.99
Fractional positions:
1 Ac 0.000 0.000 0.000
2 La 0.199 0.199 0.199
3 La 0.801 0.801 0.801
4 Mo 0.408 0.408 0.408
5 Mo 0.592 0.592 0.592
6 N 0.225 0.734 0.734
7 N 0.266 0.266 0.775
8 N 0.266 0.775 0.266
9 N 0.734 0.225 0.734
10 N 0.734 0.734 0.225
11 N 0.775 0.266 0.266

Output
Final energy (eV per atom): -8.558
Crystal system: trigonal
Symmetry: R-3m, No. 166

=====

[2]
DFT (GGA-PBE) results for an optimized crystal structure of AcLa2MoN4.

abc: 6.530 6.530 12.629
angles: 90.00 90.00 147.97
Fractional positions:
1 Ac 0.082 0.918 0.750
2 Ac 0.918 0.082 0.250
3 La 0.370 0.630 0.541
4 La 0.370 0.630 0.959
5 La 0.630 0.370 0.041
6 La 0.630 0.370 0.459
7 Mo 0.177 0.823 0.250
8 Mo 0.823 0.177 0.750
9 N 0.000 0.000 0.000
10 N 0.000 0.000 0.500
11 N 0.267 0.733 0.130
12 N 0.267 0.733 0.370
13 N 0.421 0.579 0.750
14 N 0.579 0.421 0.250
15 N 0.733 0.267 0.630
16 N 0.733 0.267 0.870

Output
Final energy (eV per atom): -8.221
Crystal system: orthorhombic
Symmetry: Cmcm, No. 63

=====

[3]
DFT (GGA-PBE) results for an optimized crystal structure of Ac2LaMo2N6.

abc: 7.320 7.320 7.320
angles: 48.16 48.16 48.16
Fractional positions:
1 Ac 0.204 0.204 0.204
2 Ac 0.796 0.796 0.796
3 La 0.000 0.000 0.000
4 Mo 0.404 0.404 0.404
5 Mo 0.596 0.596 0.596
6 N 0.231 0.738 0.738
7 N 0.262 0.262 0.769
8 N 0.262 0.769 0.262
9 N 0.738 0.231 0.738
10 N 0.738 0.738 0.231
11 N 0.769 0.262 0.262

Output
Final energy (eV per atom): -8.522
Crystal system: trigonal
Symmetry: R-3m, No. 166

=====

Number 1: magnetization 0.0 Bohr magnetons per cell. Number 2: magnetization 0.0 Bohr magnetons per cell. Number 3: magnetization 0.0 Bohr magnetons per cell.